# 1
First-principles (PBE-GGA) data for an optimized crystal structure of LiCe2AlAu6, as listed in Alexandria via LeMat-Bulk.

Space group: P-1 (2)
Volume, Å³ per cell: 211.7
Final energy, eV/cell: -41.99

Unit cell a=5.496 b=5.599 c=7.465 alpha=98.87 beta=106.65 gamma=99.94
Element x y z (fractional)
Li 0.000 0.000 0.000
Ce 0.441 0.694 0.299
Ce 0.559 0.306 0.701
Al 0.000 0.500 0.500
Au 0.093 0.096 0.356
Au 0.140 0.400 0.877
Au 0.460 0.818 0.824
Au 0.540 0.182 0.176
Au 0.860 0.600 0.123
Au 0.907 0.904 0.644

# 2
First-principles (PBE-GGA) data for an optimized crystal structure of Ce2MgAl3Au4, as listed in Alexandria via LeMat-Bulk.

Space group: P-4m2 (115)
Volume, Å³ per cell: 210.7
Final energy, eV/cell: -44.18

Unit cell a=4.467 b=4.467 c=10.558 alpha=90.00 beta=90.00 gamma=90.00
Element x y z (fractional)
Ce 0.000 0.500 0.241
Ce 0.500 0.000 0.759
Mg 0.000 0.000 0.500
Al 0.000 0.500 0.873
Al 0.500 0.000 0.127
Al 0.500 0.500 0.500
Au 0.000 0.000 0.000
Au 0.000 0.500 0.637
Au 0.500 0.000 0.363
Au 0.500 0.500 0.000

# 3
First-principles (PBE-GGA) data for an optimized crystal structure of Ce2MgAl4Au3, as listed in Alexandria via LeMat-Bulk.

Space group: P-4m2 (115)
Volume, Å³ per cell: 208.2
Final energy, eV/cell: -44.16

Unit cell a=4.328 b=4.328 c=11.115 alpha=90.00 beta=90.00 gamma=90.00
Element x y z (fractional)
Ce 0.000 0.500 0.245
Ce 0.500 0.000 0.755
Mg 0.000 0.000 0.500
Al 0.000 0.000 0.000
Al 0.000 0.500 0.646
Al 0.500 0.000 0.354
Al 0.500 0.500 0.000
Au 0.000 0.500 0.871
Au 0.500 0.000 0.129
Au 0.500 0.500 0.500

# 4
First-principles (PBE-GGA) data for an optimized crystal structure of CeMgAl2Au5, as listed in Alexandria via LeMat-Bulk.

Space group: P4/mmm (123)
Volume, Å³ per cell: 188.2
Final energy, eV/cell: -35.00

Unit cell a=4.862 b=4.862 c=7.962 alpha=90.00 beta=90.00 gamma=90.00
Element x y z (fractional)
Ce 0.000 0.000 0.000
Mg 0.000 0.000 0.500
Al 0.500 0.500 0.340
Al 0.500 0.500 0.660
Au 0.000 0.500 0.247
Au 0.000 0.500 0.753
Au 0.500 0.000 0.247
Au 0.500 0.000 0.753
Au 0.500 0.500 0.000

# 5
First-principles (PBE-GGA) data for an optimized crystal structure of CeMg2AlAu4, as listed in Alexandria via LeMat-Bulk.

Space group: R-3m (166)
Volume, Å³ per cell: 160.7
Final energy, eV/cell: -30.51

Unit cell a=9.286 b=9.286 c=9.286 alpha=28.46 beta=28.46 gamma=28.46
Element x y z (fractional)
Ce 0.000 0.000 0.000
Mg 0.240 0.240 0.240
Mg 0.760 0.760 0.760
Al 0.500 0.500 0.500
Au 0.132 0.132 0.132
Au 0.396 0.396 0.396
Au 0.604 0.604 0.604
Au 0.868 0.868 0.868

# 6
First-principles (PBE-GGA) data for an optimized crystal structure of CeMgAl2Au2, as listed in Alexandria via LeMat-Bulk.

Space group: P-3m1 (164)
Volume, Å³ per cell: 123.0
Final energy, eV/cell: -25.08

Unit cell a=4.481 b=4.481 c=7.076 alpha=90.00 beta=90.00 gamma=120.00
Element x y z (fractional)
Ce 0.000 0.000 0.000
Mg 0.000 0.000 0.500
Al 0.333 0.667 0.707
Al 0.667 0.333 0.293
Au 0.333 0.667 0.288
Au 0.667 0.333 0.712

> Which formula does entry 1 have?

LiCe2AlAu6

> The highest volume belongs to which entry?

LiCe2AlAu6